[1]
# CrSb2Ru

A relaxed structure of CrSb2Ru (PBE, Alexandria).

The uncorrected formation energy comes out at 0.23 eV/atom. Its offset from the most stable computed form is 99 meV per atom.

Cell: 4.6854 4.6854 3.2122 Å, 89.99 89.99 90.00°
With the nearest neighbours (Å) after each atom.
Fractional coordinates of all 4 atoms:
Cr  0.5000  0.0000  0.5000  8 Sb 2.84
Ru  0.0000  0.5000  0.5000  8 Sb 2.84
Sb  0.0000  0.0000  0.0000  4 Ru 2.84, 4 Cr 2.84
Sb  0.5000  0.5000  0.0000  4 Cr 2.84, 4 Ru 2.84

=====

[2]
# Cr2SbRu

A relaxed structure of Cr2SbRu (PBE, Alexandria).

The uncorrected formation energy comes out at 0.46 eV/atom.

Cell: 8.1088 8.1088 8.1088 Å, 21.14 21.14 21.14°
With the nearest neighbours (Å) after each atom.
Fractional coordinates of all 4 atoms:
Cr  0.9890  0.9890  0.9890  3 Cr 2.35
Cr  0.2551  0.2551  0.2551  3 Cr 2.35, 3 Ru 2.58
Ru  0.5072  0.5072  0.5072  3 Cr 2.58, 3 Sb 2.78
Sb  0.7487  0.7487  0.7487  3 Ru 2.78, 3 Cr 2.80, 6 Sb 2.97

=====

[3]
# CrSbRu2

A relaxed structure of CrSbRu2 (PBE, Alexandria).

The uncorrected formation energy comes out at 0.33 eV/atom.

Cell: 4.4009 4.4009 4.4009 Å, 60.00 60.00 60.00°
With the nearest neighbours (Å) after each atom.
Fractional coordinates of all 4 atoms:
Cr  0.5000  0.5000  0.5000  4 Ru 2.69, 4 Sb 2.69
Ru  0.0000  0.0000  0.0000  4 Sb 2.69, 4 Ru 2.69
Ru  0.2500  0.2500  0.2500  4 Ru 2.69, 4 Cr 2.69
Sb  0.7500  0.7500  0.7500  4 Ru 2.69, 4 Cr 2.69

=====

[4]
# CrSb2Ru

A relaxed structure of CrSb2Ru (PBE, Alexandria).

The uncorrected formation energy comes out at 0.23 eV/atom. Its offset from the most stable computed form is 98 meV per atom.

Cell: 4.4576 4.4576 5.7258 Å, 78.79 78.79 43.56°
With the nearest neighbours (Å) after each atom.
Fractional coordinates of all 4 atoms:
Cr  0.2500  0.2500  0.2500  6 Sb 2.75-2.86
Ru  0.7500  0.7500  0.7500  6 Sb 2.74-2.75
Sb  0.0069  0.0069  0.9877  3 Ru 2.74-2.75, 3 Cr 2.75-2.86
Sb  0.4931  0.4931  0.5123  3 Ru 2.74-2.75, 3 Cr 2.75-2.86

=====

[5]
# CrSb3Ru

A relaxed structure of CrSb3Ru (PBE, Alexandria).

The uncorrected formation energy comes out at 1.01 eV/atom. Its offset from the most stable computed form is 0 meV per atom.

Cell: 4.9477 4.9477 4.9477 Å, 90.00 90.00 90.00°
With the nearest neighbours (Å) after each atom.
Fractional coordinates of all 5 atoms:
Sb  0.0000  0.5000  0.0000  2 Cr 2.47
Sb  0.0000  0.0000  0.5000  2 Cr 2.47
Sb  0.5000  0.0000  0.0000  2 Cr 2.47
Cr  0.0000  0.0000  0.0000  6 Sb 2.47
Ru  0.5000  0.5000  0.5000  12 Sb 3.50

=====

[6]
# Cr2SbRu

A relaxed structure of Cr2SbRu (PBE, Alexandria).

The uncorrected formation energy comes out at 0.19 eV/atom.

Cell: 4.8002 4.8002 4.5888 Å, 72.41 72.41 37.67°
With the nearest neighbours (Å) after each atom.
Fractional coordinates of all 4 atoms:
Cr  0.0131  0.0131  0.9407  2 Cr 2.46, 2 Ru 2.73
Cr  0.7356  0.7356  0.8109  2 Cr 2.46, 2 Sb 2.72
Ru  0.5008  0.5008  0.4600  3 Sb 2.63-2.65, 6 Cr 2.73-2.89
Sb  0.2505  0.2505  0.2884  3 Ru 2.63-2.65, 6 Cr 2.72-2.86

=====

[7]
# Cr2SbRu2

A relaxed structure of Cr2SbRu2 (PBE, Alexandria).

The uncorrected formation energy comes out at 0.32 eV/atom. Its offset from the most stable computed form is 42 meV per atom.

Cell: 7.3030 7.3030 2.8264 Å, 90.00 90.00 90.00°
With the nearest neighbours (Å) after each atom.
Fractional coordinates of all 10 atoms:
Sb  0.0000  0.0000  0.0000  2 Sb 2.83, 4 Cr 2.84, 8 Ru 3.13
Sb  0.5000  0.5000  0.0000  2 Sb 2.83, 4 Cr 2.84, 8 Ru 3.13
Cr  0.3651  0.8651  0.0000  6 Ru 2.51-2.65, 1 Cr 2.79
Cr  0.8651  0.6349  0.0000  6 Ru 2.51-2.65, 1 Cr 2.79
Cr  0.6349  0.1349  0.0000  6 Ru 2.51-2.65, 1 Cr 2.79
Cr  0.1349  0.3651  0.0000  6 Ru 2.51-2.65, 1 Cr 2.79
Ru  0.1482  0.6482  0.5000  6 Cr 2.51-2.65
Ru  0.6482  0.8518  0.5000  6 Cr 2.51-2.65
Ru  0.8518  0.3518  0.5000  6 Cr 2.51-2.65
Ru  0.3518  0.1482  0.5000  6 Cr 2.51-2.65

=====

[8]
# CrSb2Ru

A relaxed structure of CrSb2Ru (PBE, Alexandria).

The uncorrected formation energy comes out at 0.25 eV/atom. Its offset from the most stable computed form is 113 meV per atom.

Cell: 4.5754 4.5754 4.5754 Å, 60.00 60.00 60.00°
With the nearest neighbours (Å) after each atom.
Fractional coordinates of all 4 atoms:
Sb  0.2500  0.2500  0.2500  4 Cr 2.80, 4 Ru 2.80
Sb  0.7500  0.7500  0.7500  4 Ru 2.80, 4 Cr 2.80
Cr  0.0000  0.0000  0.0000  8 Sb 2.80
Ru  0.5000  0.5000  0.5000  8 Sb 2.80

=====

[9]
# CrSb2Ru

A relaxed structure of CrSb2Ru (PBE, Alexandria).

The uncorrected formation energy comes out at 0.16 eV/atom. Its offset from the most stable computed form is 23 meV per atom.

Cell: 3.3370 4.0158 5.6202 Å, 90.00 90.00 90.00°
With the nearest neighbours (Å) after each atom.
Fractional coordinates of all 4 atoms:
Cr  0.0000  0.0000  0.4562  6 Sb 2.73-2.89
Ru  0.5000  0.5000  0.7928  6 Sb 2.72-2.90
Sb  0.0000  0.0000  0.9416  2 Cr 2.73-2.89, 4 Ru 2.74
Sb  0.5000  0.5000  0.3094  2 Ru 2.72-2.90, 4 Cr 2.74

=====

[10]
# Cr2SbRu

A relaxed structure of Cr2SbRu (PBE, Alexandria).

The uncorrected formation energy comes out at 0.23 eV/atom.

Cell: 4.7830 4.7830 4.7830 Å, 131.73 131.72 70.66°
With the nearest neighbours (Å) after each atom.
Fractional coordinates of all 4 atoms:
Cr  0.0000  0.0000  0.0000  4 Cr 2.76, 4 Sb 2.76, 4 Ru 2.77
Cr  0.7500  0.2500  0.5000  4 Cr 2.76, 4 Ru 2.76, 4 Sb 2.77
Ru  0.5000  0.5000  0.0000  4 Sb 2.76, 8 Cr 2.76-2.77
Sb  0.2500  0.7500  0.5000  4 Ru 2.76, 8 Cr 2.76-2.77

=====

[11]
# Cr2SbRu

A relaxed structure of Cr2SbRu (PBE, Alexandria).

The uncorrected formation energy comes out at 0.57 eV/atom.

Cell: 8.4636 8.4636 8.4636 Å, 19.72 19.72 19.72°
With the nearest neighbours (Å) after each atom.
Fractional coordinates of all 4 atoms:
Cr  0.9953  0.9953  0.9953  3 Ru 2.58, 3 Sb 2.76
Cr  0.5047  0.5047  0.5047  3 Ru 2.58, 3 Sb 2.76
Ru  0.2500  0.2500  0.2500  6 Cr 2.58
Sb  0.7500  0.7500  0.7500  6 Cr 2.76, 6 Sb 2.90

=====

[12]
# CrSbRu2

A relaxed structure of CrSbRu2 (PBE, Alexandria).

The uncorrected formation energy comes out at 0.21 eV/atom.

Cell: 3.8286 2.9944 6.2419 Å, 61.34 90.00 90.00°
With the nearest neighbours (Å) after each atom.
Fractional coordinates of all 4 atoms:
Cr  0.5000  0.7096  0.7909  6 Ru 2.60-2.86
Ru  0.0000  0.0390  0.9610  4 Cr 2.60, 2 Sb 2.64-2.84
Ru  0.5000  0.2303  0.2694  2 Cr 2.62-2.86, 4 Sb 2.69
Sb  0.0000  0.5212  0.4787  6 Ru 2.64-2.84

=====

[13]
# CrSb2Ru

A relaxed structure of CrSb2Ru (PBE, Alexandria).

The uncorrected formation energy comes out at 0.16 eV/atom. Its offset from the most stable computed form is 25 meV per atom.

Cell: 5.0741 5.0741 4.6221 Å, 79.68 79.68 38.95°
With the nearest neighbours (Å) after each atom.
Fractional coordinates of all 4 atoms:
Cr  0.5218  0.5218  0.4125  7 Sb 2.69-2.89, 1 Ru 2.99
Ru  0.7261  0.7261  0.8280  7 Sb 2.70-2.93, 2 Cr 2.99-3.02
Sb  0.0019  0.0019  0.9252  3 Ru 2.70-2.76, 4 Cr 2.85-2.89
Sb  0.2502  0.2502  0.3343  3 Cr 2.69-2.73, 4 Ru 2.81-2.93

=====

[14]
# Cr2SbRu

A relaxed structure of Cr2SbRu (PBE, Alexandria).

The uncorrected formation energy comes out at 0.25 eV/atom.

Cell: 3.1149 3.1149 6.0860 Å, 90.00 90.00 90.00°
With the nearest neighbours (Å) after each atom.
Fractional coordinates of all 4 atoms:
Cr  0.0000  0.0000  0.0192  4 Cr 2.55, 4 Sb 2.73
Cr  0.5000  0.5000  0.2315  4 Cr 2.55, 4 Ru 2.72
Ru  0.0000  0.0000  0.4947  4 Sb 2.71, 5 Cr 2.72-2.89
Sb  0.5000  0.5000  0.7546  4 Ru 2.71, 5 Cr 2.73-2.90

=====

[15]
# CrSb2Ru

A relaxed structure of CrSb2Ru (PBE, Alexandria).

The uncorrected formation energy comes out at 0.35 eV/atom. Its offset from the most stable computed form is 212 meV per atom.

Cell: 10.3857 10.3857 10.3857 Å, 17.31 17.31 17.31°
With the nearest neighbours (Å) after each atom.
Fractional coordinates of all 4 atoms:
Cr  0.4882  0.4882  0.4882  3 Ru 2.62, 3 Sb 2.85
Ru  0.7595  0.7595  0.7595  3 Cr 2.62, 3 Sb 2.74
Sb  0.0255  0.0255  0.0255  3 Ru 2.74
Sb  0.2268  0.2268  0.2268  3 Cr 2.85, 6 Sb 3.13